Record 1
## IrW (PBE-GGA)

Data for a geometry-optimized IrW structure.

```
32
Lattice="10.1568 0.0000 0.0000 0.0000 8.3237 0.0000 0.0000 0.0000 6.4699" Properties=species:S:1:pos:R:3 pbc="T T T"
Ir 0.0000 0.0000 1.3339
Ir 0.0000 0.0000 5.1360
Ir 2.5392 6.2428 0.2836
Ir 2.5392 6.2428 2.9514
Ir 0.0000 4.1618 4.5688
Ir 0.0000 4.1618 1.9011
Ir 2.5392 2.0809 3.5185
Ir 2.5392 2.0809 6.1863
Ir 5.0784 0.0000 4.5688
Ir 5.0784 0.0000 1.9011
Ir 7.6176 6.2428 3.5185
Ir 7.6176 6.2428 6.1863
Ir 5.0784 4.1618 1.3339
Ir 5.0784 4.1618 5.1360
Ir 7.6176 2.0809 0.2836
Ir 7.6176 2.0809 2.9514
W 0.0000 2.4594 0.0000
W 0.0000 5.8642 0.0000
W 2.5392 3.7833 1.6175
W 2.5392 0.3785 1.6175
W 0.0000 6.6213 3.2349
W 0.0000 1.7024 3.2349
W 2.5392 7.9452 4.8524
W 2.5392 4.5404 4.8524
W 5.0784 2.4594 3.2349
W 5.0784 5.8642 3.2349
W 7.6176 3.7833 4.8524
W 7.6176 0.3785 4.8524
W 5.0784 6.6213 0.0000
W 5.0784 1.7024 0.0000
W 7.6176 7.9452 1.6175
W 7.6176 4.5404 1.6175
```

Results
For the density of states at the Fermi level, the calculation gives 0.80 states/eV/atom. As for the calculated formation energy: 0.59 eV/atom. For the energy above the most stable polymorph in this dataset, the calculation gives 0.888 eV per atom. Its uncorrected energy is -10.3194 eV/atom.

Record 2
## Pr2ZnAs (PBE-GGA)

Data for a geometry-optimized Pr2ZnAs structure.

```
4
Lattice="4.0747 0.0000 0.0000 2.0374 3.5288 0.0000 2.0374 1.1763 9.8193" Properties=species:S:1:pos:R:3 pbc="T T T"
Pr 2.0374 1.1763 6.6364
Pr 6.1121 3.5288 3.1829
As 4.0747 2.3525 4.9096
Zn 0.0000 0.0000 0.0000
```

Results
For the density of states at the Fermi level, the calculation gives 1.26 states/eV/atom. As for the calculated formation energy: -0.38 eV/atom. For the energy above the most stable polymorph in this dataset, the calculation gives 0.359 eV per atom. Its uncorrected energy is -4.2466 eV/atom.

Record 3
## Pu2NiSn (PBE-GGA)

Data for a geometry-optimized Pu2NiSn structure.

```
4
Lattice="-1.2536 0.7607 -3.5942 -0.0246 -3.7994 -0.7955 -5.5507 -0.3537 1.8612" Properties=species:S:1:pos:R:3 pbc="T T T"
Ni -0.6391 -1.5193 -2.1949
Sn -3.4145 -1.6962 -1.2643
Pu -4.2606 -0.2715 1.4286
Pu -1.2901 -0.0822 0.4326
```

Results
For the density of states at the Fermi level, the calculation gives 3.12 states/eV/atom. As for the calculated formation energy: -0.15 eV/atom. Its uncorrected energy is -9.7588 eV/atom.

Record 4
## BaLa2V (PBE-GGA)

Data for a geometry-optimized BaLa2V structure.

```
4
Lattice="0.0000 4.0821 4.0821 4.0821 0.0000 4.0821 4.0821 4.0821 0.0000" Properties=species:S:1:pos:R:3 pbc="T T T"
La 2.0410 2.0410 2.0410
La 6.1231 6.1231 6.1231
Ba 4.0821 4.0821 4.0821
V 0.0000 0.0000 0.0000
```

Results
For the density of states at the Fermi level, the calculation gives 1.49 states/eV/atom. As for the calculated formation energy: 0.54 eV/atom. For the energy above the most stable polymorph in this dataset, the calculation gives 0.000 eV per atom. Its uncorrected energy is -4.6817 eV/atom.

Record 5
## Pm3Dy3YS8 (PBE-GGA)

Data for a geometry-optimized Pm3Dy3YS8 structure.

```
15
Lattice="-2.0814 -5.9781 -4.7124 6.6531 -0.4359 4.2219 -7.0350 -0.4397 3.6652" Properties=species:S:1:pos:R:3 pbc="T T T"
Pm 0.0000 0.0000 0.0000
Pm 3.3265 -0.2179 2.1109
Pm 2.2858 -3.2070 -0.2453
Dy -4.5582 -3.2089 -0.5236
Dy -1.2317 -3.4269 1.5873
Dy -0.1909 -0.4378 3.9435
Y -3.5175 -0.2199 1.8326
S 1.0098 -1.8536 1.9053
S -3.4731 -5.0002 1.2693
S -0.0389 -4.8291 -0.4646
S -2.4244 -2.0247 3.6392
S -3.3405 -4.6128 -2.5597
S 0.8772 -2.2410 5.7343
S -2.3076 -1.6461 -0.2211
S -0.1557 -5.2076 3.3958
```

Results
Its raw formation energy is -2.06 eV per atom. For the density of states at the Fermi level, the calculation gives 0.46 states/eV/atom. Its uncorrected energy is -6.5626 eV/atom.

Record 6
## Ac3Rh7Pb2 (PBE-GGA)

Data for a geometry-optimized Ac3Rh7Pb2 structure.

```
12
Lattice="-3.6305 2.8770 3.5185 0.0569 -1.0453 5.7220 4.7630 6.8113 4.1537" Properties=species:S:1:pos:R:3 pbc="T T T"
Ac 0.0000 0.0000 0.0000
Ac -1.0808 4.4277 9.6900
Ac 2.2703 4.2154 3.7043
Rh 0.5947 4.3215 6.6971
Rh -2.0735 3.9314 6.6524
Rh -0.2411 1.9824 7.7474
Rh -0.2694 2.5018 4.9040
Rh 3.2629 4.7116 6.7418
Rh 1.4588 6.1412 8.4902
Rh 1.4305 6.6607 5.6468
Pb 2.3783 8.0301 10.3136
Pb -1.1889 0.6129 3.0806
```

Results
For the density of states at the Fermi level, the calculation gives 1.11 states/eV/atom. As for the calculated formation energy: -0.42 eV/atom. Its uncorrected energy is -6.3503 eV/atom.

Record 7
## RbTe2AuN (PBE-GGA)

Data for a geometry-optimized RbTe2AuN structure.

```
5
Lattice="-4.4356 -2.5969 3.8494 -3.1085 -2.2939 -5.1295 1.9863 -3.1132 0.1885" Properties=species:S:1:pos:R:3 pbc="T T T"
Te -1.5543 -1.1470 -2.5647
Te -2.2178 -1.2985 1.9247
Au 0.0000 0.0000 0.0000
Rb -2.7789 -4.0020 -0.5458
N 0.9931 -1.5566 0.0943
```

Results
Its raw formation energy is 0.48 eV per atom. For the density of states at the Fermi level, the calculation gives 0.40 states/eV/atom. For the energy above the most stable polymorph in this dataset, the calculation gives 0.000 eV per atom. Its uncorrected energy is -3.2893 eV/atom.

Record 8
## NaMg2Tl6 (PBE-GGA)

Data for a geometry-optimized NaMg2Tl6 structure.

```
18
Lattice="5.7603 0.0340 0.4823 0.6370 8.8920 3.7697 0.1984 -0.4599 9.6661" Properties=species:S:1:pos:R:3 pbc="T T T"
Na 1.6921 0.6913 9.0662
Na 4.9036 7.7747 4.8519
Mg 2.8131 4.4497 9.8543
Mg 0.7930 1.6682 5.2925
Mg 3.7825 4.0164 4.0638
Mg 5.8026 6.7979 8.6256
Tl 3.2630 5.8326 6.9809
Tl 0.5586 4.8800 5.2689
Tl 3.3327 2.6334 6.9372
Tl 6.0370 3.5861 8.6492
Tl 3.9422 0.8118 4.1666
Tl 5.4243 5.3417 11.4614
Tl 2.6534 7.6542 9.7515
Tl 1.1713 3.1243 2.4567
Tl 2.2224 6.6920 3.1167
Tl 1.8168 8.6601 6.2079
Tl 4.3732 1.7740 10.8014
Tl 4.7788 -0.1940 7.7102
```

Results
For the density of states at the Fermi level, the calculation gives 0.52 states/eV/atom. As for the calculated formation energy: -0.02 eV/atom. For the energy above the most stable polymorph in this dataset, the calculation gives 0.000 eV per atom. Its uncorrected energy is -2.1015 eV/atom.

Record 9
## Zn2CuSn2Au5 (PBE-GGA)

Data for a geometry-optimized Zn2CuSn2Au5 structure.

```
20
Lattice="-1.7380 0.6089 -2.9730 2.6653 -9.4894 -3.5018 -8.6767 -4.0062 4.2520" Properties=species:S:1:pos:R:3 pbc="T T T"
Zn -5.1910 -3.9171 2.2324
Zn -0.8205 -9.5784 -1.4822
Zn -5.7355 -9.5285 1.4014
Zn -0.2759 -3.9670 -0.6512
Cu 0.0000 0.0000 0.0000
Cu -3.0057 -6.7478 0.3751
Sn 0.3186 -7.0213 -1.6243
Sn -6.3300 -6.4742 2.3745
Sn -2.4251 -2.9280 0.8180
Sn -3.5864 -10.5675 -0.0678
Au -0.5717 -1.6613 -2.0630
Au -7.1778 -11.2253 -0.1599
Au -7.7743 -3.1624 1.8403
Au -3.1263 -8.2008 -1.9089
Au 0.0248 -9.7242 -4.0631
Au -4.6231 -4.6858 -0.3139
Au -5.5076 -7.4759 -0.3683
Au -2.2418 -5.4107 -1.8545
Au 0.4636 -4.4402 -3.2374
Au -5.2074 -1.6986 0.6395
```

Results
For the density of states at the Fermi level, the calculation gives 0.41 states/eV/atom. As for the calculated formation energy: -0.06 eV/atom. Its uncorrected energy is -3.1588 eV/atom.